A plane-wave DFT calculation with PBE was carried out for an optimized crystal structure of MgMnP.

Structure (POSCAR):
```
MgMnP
1.0
4.3668 0.0000 0.0000
0.0000 4.3668 0.0000
0.0000 0.0000 5.5350
Mg Mn P
2 2 2
Direct
0.2500 0.2500 0.1419
0.7500 0.7500 0.8581
0.2500 0.2500 0.6461
0.7500 0.7500 0.3539
0.2500 0.7500 0.5000
0.7500 0.2500 0.5000
```

The formation energy is 0.019 eV per atom. For the density of states at the Fermi level, the calculation gives 0.787 states/eV per atom.